Hf2ZrZn2: optimized geometry, PBE-GGA.

* uncorrected energy: -6.146 eV per atom
* energy of formation from the pure elements: 0.052 eV/atom
* crystal system: tetragonal

Geometry as POSCAR:
```
Hf2ZrZn2
1.0
2.8899 -2.8899 0.0000
2.8899 2.8899 0.0000
-2.8899 0.0000 5.9809
Zn Hf Zr
2 2 1
Direct
0.5958 0.5958 0.1915
0.4042 0.4042 0.8085
0.7500 0.2500 0.5000
0.2500 0.7500 0.5000
0.0000 0.0000 0.0000
```